(1)
This record from Alexandria describes crystalline CsKSi2 at its relaxed geometry. The functional is GGA-PBE.

## Properties
- mass density (g/cm3) = 2.771
- N(E_F) (states/eV/cell) = 1.2
- raw formation energy (eV/atom) = 0.874
- relative energy among the computed polymorphs (meV per atom) = 799
- final energy (hartree per atom) = -0.0854

Lattice parameters (Å, degrees): 5.783 5.783 5.783 60.00 60.00 60.00
Fractional coordinates of all 4 atoms:
1 K 0.000 0.000 0.000
2 Cs 0.500 0.500 0.500
3 Si 0.250 0.250 0.250
4 Si 0.750 0.750 0.750


(2)
This record from Alexandria describes crystalline TbPmSn at its relaxed geometry. The functional is GGA-PBE.

## Properties
- mass density (g/cm3) = 8.242
- N(E_F) (states/eV/cell) = 4.0
- relative energy among the computed polymorphs (meV per atom) = 154
- final energy (hartree per atom) = -0.1807

Lattice parameters (Å, degrees): 4.141 4.141 5.765 111.05 111.05 90.00
Fractional coordinates of all 3 atoms:
1 Sn 0.614 0.614 0.229
2 Pm 0.275 0.275 0.550
3 Tb 0.961 0.961 0.922


- The lowest mass density belongs to which entry?
  CsKSi2